## SrAsPt2 (PBE)

Data for a geometry-optimized SrAsPt2 structure.

SG: No. 166
Energy relative to the elements in kcal/mol of atoms: -15.40
V in A^3/atom: 22.92
Spin magnetization in Bohr magnetons per cell: 0.000
Total DFT energy (no corrections) in eV/atom: -5.271

abc: 5.8943 5.8943 5.8943
angles: 44.57 44.57 44.57
Sites, in units of the cell vectors:
Sr1 0.0000 0.0000 0.0000
As1 0.5000 0.5000 0.5000
Pt1 0.1988 0.1988 0.1988
Pt2 0.8012 0.8012 0.8012